[1]
! meta-GGA SCAN ZnSbP2, single point on PBEsol structure; values from VASP
&SYSTEM
  ibrav = 0, nat = 4, ntyp = 3
/
ATOMIC_SPECIES
Zn 65.41 Zn.upf
Sb 121.76 Sb.upf
P 30.97 P.upf
ATOMIC_POSITIONS angstrom
Zn 0.0000 0.0000 0.0000
Sb 1.8891 0.0000 2.5582
P 0.0000 0.0000 5.1164
P 0.0000 1.8891 2.5582
CELL_PARAMETERS angstrom
-1.8891 1.8891 5.1164
1.8891 -1.8891 5.1164
1.8891 1.8891 -5.1164
! total energy = -17.27 eV/atom
! formation energy without anion corrections = 0.628 eV per atom
! magnetic moment = 0.00 μB per cell
! energy above the most stable polymorph in this dataset = 1.728 eV per formula unit


[2]
! meta-GGA SCAN Zr2SbP, single point on PBEsol structure; values from VASP
&SYSTEM
  ibrav = 0, nat = 4, ntyp = 3
/
ATOMIC_SPECIES
Zr 91.22 Zr.upf
Sb 121.76 Sb.upf
P 30.97 P.upf
ATOMIC_POSITIONS angstrom
Zr 1.6920 1.6920 1.6920
Zr 5.0759 5.0759 5.0759
Sb 0.0000 0.0000 0.0000
P 3.3840 3.3840 3.3840
CELL_PARAMETERS angstrom
0.0000 3.3840 3.3840
3.3840 0.0000 3.3840
3.3840 3.3840 0.0000
! total energy = -27.93 eV/atom
! formation energy without anion corrections = -0.661 eV per atom
! magnetic moment = 0.00 μB per cell


[3]
! meta-GGA SCAN Zr2SbP, single point on PBEsol structure; values from VASP
&SYSTEM
  ibrav = 0, nat = 4, ntyp = 3
/
ATOMIC_SPECIES
Zr 91.22 Zr.upf
Sb 121.76 Sb.upf
P 30.97 P.upf
ATOMIC_POSITIONS angstrom
Zr -0.0537 0.0000 1.7351
Zr 2.0465 0.0000 4.6666
Sb 1.7152 1.8100 0.0000
P 0.9964 1.8100 3.2008
CELL_PARAMETERS angstrom
3.4303 0.0000 0.0000
0.0000 3.6200 0.0000
-1.4375 0.0000 6.4017
! total energy = -28.07 eV/atom
! formation energy without anion corrections = -0.805 eV per atom
! magnetic moment = 0.00 μB per cell


[4]
! meta-GGA SCAN Zr2SbP, single point on PBEsol structure; values from VASP
&SYSTEM
  ibrav = 0, nat = 4, ntyp = 3
/
ATOMIC_SPECIES
Zr 91.22 Zr.upf
Sb 121.76 Sb.upf
P 30.97 P.upf
ATOMIC_POSITIONS angstrom
Zr 0.0000 0.0000 0.0000
Zr 7.4168 0.0000 2.2880
Sb 4.6657 0.0000 2.2974
P 2.7630 0.0000 4.5904
CELL_PARAMETERS angstrom
4.9536 -1.7657 0.0000
4.9536 1.7657 0.0000
-0.0149 0.0000 4.5959
! total energy = -28.05 eV/atom
! formation energy without anion corrections = -0.785 eV per atom
! magnetic moment = 0.00 μB per cell


[5]
! meta-GGA SCAN ZrSbP2, single point on PBEsol structure; values from VASP
&SYSTEM
  ibrav = 0, nat = 4, ntyp = 3
/
ATOMIC_SPECIES
Zr 91.22 Zr.upf
Sb 121.76 Sb.upf
P 30.97 P.upf
ATOMIC_POSITIONS angstrom
Zr 0.0000 0.0000 0.0000
Sb 0.1355 1.6263 4.4827
P 1.8930 1.6263 1.1115
P 2.7242 0.0000 2.4883
CELL_PARAMETERS angstrom
3.7256 0.0000 0.0000
0.0000 3.2527 0.0000
-1.7061 0.0000 6.3762
! total energy = -22.55 eV/atom
! formation energy without anion corrections = -0.365 eV per atom
! magnetic moment = 0.00 μB per cell


[6]
! meta-GGA SCAN Zr2SbP, single point on PBEsol structure; values from VASP
&SYSTEM
  ibrav = 0, nat = 4, ntyp = 3
/
ATOMIC_SPECIES
Zr 91.22 Zr.upf
Sb 121.76 Sb.upf
P 30.97 P.upf
ATOMIC_POSITIONS angstrom
Zr 0.0000 0.0000 0.0000
Zr 2.4397 0.0000 2.9672
Sb 2.4397 0.0000 5.7178
P 0.0000 0.0000 2.8811
CELL_PARAMETERS angstrom
4.8794 0.0000 0.0000
0.0000 1.8026 4.9162
0.0000 -1.8026 4.9162
! total energy = -28.08 eV/atom
! formation energy without anion corrections = -0.818 eV per atom
! magnetic moment = 0.00 μB per cell


[7]
! meta-GGA SCAN Zr2SbP, single point on PBEsol structure; values from VASP
&SYSTEM
  ibrav = 0, nat = 8, ntyp = 3
/
ATOMIC_SPECIES
Zr 91.22 Zr.upf
Sb 121.76 Sb.upf
P 30.97 P.upf
ATOMIC_POSITIONS angstrom
Zr 0.0000 2.1872 1.3615
Zr 0.0000 2.1872 5.2621
Zr 1.8942 1.0936 7.9851
Zr 1.8942 1.0936 11.8857
Sb 0.0000 2.1872 9.9354
Sb 1.8942 1.0936 3.3118
P 0.0000 0.0000 0.0000
P 0.0000 0.0000 6.6236
CELL_PARAMETERS angstrom
3.7883 0.0000 0.0000
-1.8942 3.2808 0.0000
0.0000 0.0000 13.2473
! total energy = -28.52 eV/atom
! formation energy without anion corrections = -1.257 eV per atom
! magnetic moment = 0.00 μB per cell


[8]
! meta-GGA SCAN ZrSb2P, single point on PBEsol structure; values from VASP
&SYSTEM
  ibrav = 0, nat = 4, ntyp = 3
/
ATOMIC_SPECIES
Zr 91.22 Zr.upf
Sb 121.76 Sb.upf
P 30.97 P.upf
ATOMIC_POSITIONS angstrom
Zr 0.0000 0.0000 0.0000
Sb 2.0777 0.0000 2.4468
Sb 0.0000 2.0777 2.4468
P 0.0000 0.0000 4.8936
CELL_PARAMETERS angstrom
-2.0777 2.0777 4.8936
2.0777 -2.0777 4.8936
2.0777 2.0777 -4.8936
! total energy = -29.01 eV/atom
! formation energy without anion corrections = -0.108 eV per atom
! magnetic moment = 0.00 μB per cell


[9]
! meta-GGA SCAN Zr2SbP, single point on PBEsol structure; values from VASP
&SYSTEM
  ibrav = 0, nat = 4, ntyp = 3
/
ATOMIC_SPECIES
Zr 91.22 Zr.upf
Sb 121.76 Sb.upf
P 30.97 P.upf
ATOMIC_POSITIONS angstrom
Zr 0.0000 0.0000 1.6738
Zr 0.0000 0.0000 6.1380
Sb 0.0000 2.6402 0.0000
P 1.9241 0.0000 0.0000
CELL_PARAMETERS angstrom
-1.9241 2.6402 3.9059
1.9241 -2.6402 3.9059
1.9241 2.6402 -3.9059
! total energy = -28.07 eV/atom
! formation energy without anion corrections = -0.804 eV per atom
! magnetic moment = 0.00 μB per cell


[10]
! meta-GGA SCAN ZrSb2P, single point on PBEsol structure; values from VASP
&SYSTEM
  ibrav = 0, nat = 4, ntyp = 3
/
ATOMIC_SPECIES
Zr 91.22 Zr.upf
Sb 121.76 Sb.upf
P 30.97 P.upf
ATOMIC_POSITIONS angstrom
Zr 0.0000 0.0000 0.0000
Sb 0.8347 1.8638 4.3433
Sb 1.9749 1.8638 1.4815
P -0.5492 0.0000 2.9124
CELL_PARAMETERS angstrom
3.9080 0.0000 0.0000
0.0000 3.7276 0.0000
-1.0984 0.0000 5.8248
! total energy = -29.08 eV/atom
! formation energy without anion corrections = -0.178 eV per atom
! magnetic moment = 0.00 μB per cell


[11]
! meta-GGA SCAN Sc3P2, single point on PBEsol structure; values from VASP
&SYSTEM
  ibrav = 0, nat = 20, ntyp = 2
/
ATOMIC_SPECIES
Sc 44.96 Sc.upf
P 30.97 P.upf
ATOMIC_POSITIONS angstrom
Sc 0.4657 0.9202 1.3067
Sc 1.2559 2.7607 5.5680
Sc 2.2498 0.9202 7.9316
Sc 2.7856 2.7607 2.9783
Sc 3.7796 0.9202 0.6147
Sc 4.5697 2.7607 6.2599
Sc 5.5012 0.9202 3.6466
Sc 6.2913 2.7607 9.2919
Sc 7.2853 0.9202 6.9282
Sc 7.8211 2.7607 1.9750
Sc 8.8151 0.9202 4.3386
Sc 9.6052 2.7607 8.5999
P 0.1032 2.7607 3.1559
P 1.8818 2.7607 9.8918
P 3.1536 0.9202 4.9385
P 4.9323 0.9202 8.1092
P 5.1387 2.7607 1.7973
P 6.9173 2.7607 4.9680
P 8.1891 0.9202 0.0147
P 9.9677 0.9202 6.7506
CELL_PARAMETERS angstrom
10.0710 0.0000 0.0000
0.0000 3.6809 0.0000
0.0000 0.0000 9.9065
! total energy = -14.10 eV/atom
! formation energy from the elements = -1.39 eV per atom
! magnetic moment = 0.01 μB per cell


[12]
! meta-GGA SCAN ScP2, single point on PBEsol structure; values from VASP
&SYSTEM
  ibrav = 0, nat = 6, ntyp = 2
/
ATOMIC_SPECIES
Sc 44.96 Sc.upf
P 30.97 P.upf
ATOMIC_POSITIONS angstrom
Sc 0.0000 2.6832 1.2829
Sc 2.3237 1.3416 3.8487
P 0.0000 0.0000 0.0000
P 0.0000 0.0000 2.5658
P 0.0000 2.6832 3.8487
P 2.3237 1.3416 1.2829
CELL_PARAMETERS angstrom
4.6475 0.0000 0.0000
-2.3237 4.0248 0.0000
0.0000 0.0000 5.1315
! total energy = -12.16 eV/atom
! formation energy from the elements = -0.48 eV per atom
! magnetic moment = 0.00 μB per cell


[13]
! meta-GGA SCAN Sc2P, single point on PBEsol structure; values from VASP
&SYSTEM
  ibrav = 0, nat = 6, ntyp = 2
/
ATOMIC_SPECIES
Sc 44.96 Sc.upf
P 30.97 P.upf
ATOMIC_POSITIONS angstrom
Sc 0.0000 0.0000 0.0000
Sc 1.9104 1.9104 0.0000
Sc 1.9104 0.0000 1.9104
Sc 0.0000 1.9104 1.9104
P 2.8656 2.8656 2.8656
P 4.7760 4.7760 4.7760
CELL_PARAMETERS angstrom
0.0000 3.8208 3.8208
3.8208 0.0000 3.8208
3.8208 3.8208 0.0000
! total energy = -12.77 eV/atom
! formation energy from the elements = 0.19 eV per atom
! magnetic moment = 0.01 μB per cell


[14]
! meta-GGA SCAN Sc3P, single point on PBEsol structure; values from VASP
&SYSTEM
  ibrav = 0, nat = 4, ntyp = 2
/
ATOMIC_SPECIES
Sc 44.96 Sc.upf
P 30.97 P.upf
ATOMIC_POSITIONS angstrom
Sc 0.0000 0.0000 0.0000
Sc 0.0000 2.0658 2.2712
Sc 1.7734 2.0658 4.5567
P 1.7734 0.0000 2.9120
CELL_PARAMETERS angstrom
3.5469 0.0000 0.0000
0.0000 4.1316 0.0000
0.0000 0.0000 5.2873
! total energy = -13.76 eV/atom
! formation energy from the elements = -0.49 eV per atom
! magnetic moment = 0.00 μB per cell
! energy above the most stable polymorph in this dataset = 1.611 eV per formula unit


[15]
! meta-GGA SCAN Sc4P3, single point on PBEsol structure; values from VASP
&SYSTEM
  ibrav = 0, nat = 7, ntyp = 2
/
ATOMIC_SPECIES
Sc 44.96 Sc.upf
P 30.97 P.upf
ATOMIC_POSITIONS angstrom
Sc 0.0000 0.0000 1.3436
Sc 0.0000 0.0000 6.3883
Sc 0.0000 0.0000 14.2793
Sc 0.0000 0.0000 19.3240
P 0.0000 0.0000 3.8051
P 0.0000 0.0000 10.3338
P 0.0000 0.0000 16.8626
CELL_PARAMETERS angstrom
-1.7908 1.7908 10.3338
1.7908 -1.7908 10.3338
1.7908 1.7908 -10.3338
! total energy = -13.85 eV/atom
! formation energy from the elements = -1.25 eV per atom
! magnetic moment = 0.00 μB per cell


[16]
! meta-GGA SCAN ScP2, single point on PBEsol structure; values from VASP
&SYSTEM
  ibrav = 0, nat = 6, ntyp = 2
/
ATOMIC_SPECIES
Sc 44.96 Sc.upf
P 30.97 P.upf
ATOMIC_POSITIONS angstrom
Sc 0.6725 0.0000 1.4790
Sc 6.9745 0.0000 3.2633
P 0.8908 0.0000 4.1218
P 4.4845 0.0000 0.0000
P 3.8235 0.0000 2.3712
P 6.7562 0.0000 0.6206
CELL_PARAMETERS angstrom
4.4845 -2.2050 0.0000
4.4845 2.2050 0.0000
-1.3220 0.0000 4.7423
! total energy = -12.41 eV/atom
! formation energy from the elements = -0.74 eV per atom
! magnetic moment = 0.00 μB per cell


[17]
! meta-GGA SCAN Sc2P, single point on PBEsol structure; values from VASP
&SYSTEM
  ibrav = 0, nat = 6, ntyp = 2
/
ATOMIC_SPECIES
Sc 44.96 Sc.upf
P 30.97 P.upf
ATOMIC_POSITIONS angstrom
Sc 0.0000 0.0000 0.0000
Sc 0.0000 0.0000 2.6903
Sc 1.8070 2.3807 4.0355
Sc 1.8070 -2.3807 1.3452
P 1.8070 1.4949 1.3452
P 1.8070 -1.4949 4.0355
CELL_PARAMETERS angstrom
1.8070 -5.7156 0.0000
1.8070 5.7156 0.0000
0.0000 0.0000 5.3806
! total energy = -14.05 eV/atom
! formation energy from the elements = -1.09 eV per atom
! magnetic moment = 0.00 μB per cell


[18]
! meta-GGA SCAN Sc3P, single point on PBEsol structure; values from VASP
&SYSTEM
  ibrav = 0, nat = 4, ntyp = 2
/
ATOMIC_SPECIES
Sc 44.96 Sc.upf
P 30.97 P.upf
ATOMIC_POSITIONS angstrom
Sc 0.0000 0.0000 2.0830
Sc 0.0000 2.0830 0.0000
Sc 2.0830 0.0000 0.0000
P 2.0830 2.0830 2.0830
CELL_PARAMETERS angstrom
4.1659 0.0000 0.0000
0.0000 4.1659 0.0000
0.0000 0.0000 4.1659
! total energy = -13.78 eV/atom
! formation energy from the elements = -0.50 eV per atom
! magnetic moment = 2.42 μB per cell
! energy above the most stable polymorph in this dataset = 1.538 eV per formula unit


[19]
! meta-GGA SCAN Sc3P, single point on PBEsol structure; values from VASP
&SYSTEM
  ibrav = 0, nat = 16, ntyp = 2
/
ATOMIC_SPECIES
Sc 44.96 Sc.upf
P 30.97 P.upf
ATOMIC_POSITIONS angstrom
Sc 0.1801 2.0711 0.7384
Sc 1.1861 0.4043 3.6643
Sc 1.1861 3.7379 3.6643
Sc 2.2023 4.5465 0.8530
Sc 2.2023 7.8800 0.8530
Sc 3.2084 6.2133 3.5496
Sc 3.5685 2.0711 2.0729
Sc 4.5745 0.4043 4.7695
Sc 4.5745 3.7379 4.7695
Sc 5.5908 4.5465 1.9582
Sc 5.5908 7.8800 1.9582
Sc 6.5968 6.2133 4.8841
P 0.8284 6.2133 2.4054
P 2.5601 2.0711 5.2167
P 4.2168 6.2133 0.4059
P 5.9485 2.0711 3.2171
CELL_PARAMETERS angstrom
6.7769 0.0000 0.0000
0.0000 8.2844 0.0000
0.0000 0.0000 5.6225
! total energy = -14.17 eV/atom
! formation energy from the elements = -0.89 eV per atom
! magnetic moment = 0.00 μB per cell
! energy above the most stable polymorph in this dataset = 0.000 eV per formula unit


[20]
! meta-GGA SCAN Sc4P, single point on PBEsol structure; values from VASP
&SYSTEM
  ibrav = 0, nat = 5, ntyp = 2
/
ATOMIC_SPECIES
Sc 44.96 Sc.upf
P 30.97 P.upf
ATOMIC_POSITIONS angstrom
Sc 2.0716 0.6071 0.0000
Sc 3.3203 -1.8558 1.6765
Sc 0.6071 5.7831 0.0000
Sc 1.8558 3.3203 1.6765
P 0.0000 0.0000 1.6765
CELL_PARAMETERS angstrom
-3.9273 3.9273 1.6765
3.9273 -3.9273 1.6765
3.9273 3.9273 -1.6765
! total energy = -13.99 eV/atom
! formation energy from the elements = -0.52 eV per atom
! magnetic moment = 0.00 μB per cell